CoTePbO: optimized geometry, GGA+U. Values from VASP.

Structure (Quantum ESPRESSO input):
```
&SYSTEM
  ibrav = 0, nat = 8, ntyp = 4
/
ATOMIC_SPECIES
Co 58.93 Co.upf
Te 127.60 Te.upf
Pb 207.20 Pb.upf
O 16.00 O.upf
ATOMIC_POSITIONS crystal
Co 0.0000 0.0000 0.0000
Co 0.0000 0.0000 0.5000
Te 0.3333 0.6667 0.0869
Te 0.6667 0.3333 0.5869
Pb 0.3333 0.6667 0.7888
Pb 0.6667 0.3333 0.2888
O 0.0000 0.0000 0.3482
O 0.0000 0.0000 0.8482
CELL_PARAMETERS angstrom
4.1486 0.0000 0.0000
-2.0743 3.5928 0.0000
0.0000 0.0000 12.3920
```

## Properties
Theoretical density = 7.37 g/cm³
Relative energy among the computed polymorphs = 0.0369 eV/atom
VASP energy = -19.0 eV/f.u.
Magnetization = 2.99 μB/f.u.